Entry 1:
{"formula": "BaCrIn", "functional": "GGA-PBE", "state": "optimized geometry", "total_energy_ev_per_atom": -4.3352, "e_form_ev_per_atom": 0.426, "spacegroup": "F-43m", "lattice": [[5.2075, 0.0000, 0.0000], [2.6037, 4.5098, 0.0000], [2.6037, 1.5033, 4.2519]], "species": ["In", "Cr", "Ba"], "frac_coords": [[0.0000, 0.0000, 0.0000], [0.7500, 0.7500, 0.7500], [0.5000, 0.5000, 0.5000]]}

Entry 2:
{"formula": "Rb2BeGaTe4", "functional": "GGA-PBE", "state": "optimized geometry", "formation_energy_uncorrected_ev_per_atom": -0.5636, "total_energy_ev_per_atom": -3.2205, "spacegroup": "P1", "lattice": [[8.0697, 0.0014, 0.0060], [-0.0006, 8.0700, -0.0014], [-4.0245, -4.0311, 4.3703]], "species": ["Te", "Te", "Te", "Te", "Rb", "Rb", "Be", "Ga"], "frac_coords": [[0.3398, 0.7422, 0.2017], [0.8618, 0.4597, 0.2016], [0.7295, 0.6092, 0.7416], [0.0122, 0.1317, 0.7422], [0.4860, 0.9859, 0.9717], [0.2357, 0.2359, 0.4717], [0.9865, 0.4864, 0.9718], [0.7355, 0.7362, 0.4717]]}

Entry 3:
{"formula": "CsNi2AuSe", "functional": "GGA-PBE", "state": "optimized geometry", "formation_energy_uncorrected_ev_per_atom": 0.5840, "total_energy_ev_per_atom": -3.2517, "spacegroup": "P4/mmm", "lattice": [[5.0064, 0.0000, 0.0000], [0.0000, 5.0064, 0.0000], [0.0000, 0.0000, 5.2477]], "species": ["Ni", "Ni", "Se", "Cs", "Au"], "frac_coords": [[0.0000, 0.5000, 0.0000], [0.5000, 0.0000, 0.0000], [0.0000, 0.0000, 0.5000], [0.5000, 0.5000, 0.5000], [0.0000, 0.0000, 0.0000]]}

Entry 4:
{"formula": "Pu2NpRhN4", "functional": "GGA-PBE", "state": "optimized geometry", "formation_energy_uncorrected_ev_per_atom": -0.7823, "total_energy_ev_per_atom": -11.0645, "spacegroup": "Cmcm", "lattice": [[3.3463, 0.0000, 0.0000], [-1.6731, 5.7180, 0.0000], [0.0000, 0.0000, 11.6520]], "species": ["Pu", "Pu", "Pu", "Pu", "N", "N", "N", "N", "N", "N", "N", "N", "Np", "Np", "Rh", "Rh"], "frac_coords": [[0.3702, 0.7403, 0.9459], [0.6298, 0.2597, 0.0541], [0.3702, 0.7403, 0.5541], [0.6298, 0.2597, 0.4459], [0.0000, 0.0000, 0.5000], [0.7198, 0.4397, 0.6213], [0.0000, 0.0000, 0.0000], [0.5253, 0.0506, 0.2500], [0.2802, 0.5603, 0.1213], [0.2802, 0.5603, 0.3787], [0.4747, 0.9494, 0.7500], [0.7198, 0.4397, 0.8787], [0.8854, 0.7707, 0.2500], [0.1146, 0.2293, 0.7500], [0.1506, 0.3011, 0.2500], [0.8494, 0.6989, 0.7500]]}

Entry 5:
{"formula": "NbTlCl5", "functional": "GGA-PBE", "state": "optimized geometry", "formation_energy_uncorrected_ev_per_atom": -1.1419, "total_energy_ev_per_atom": -4.2375, "spacegroup": "C2/c", "lattice": [[-2.9249, -0.6336, -7.4347], [0.1720, -6.7192, -4.3651], [-8.6830, -4.1488, 0.5351]], "species": ["Tl", "Tl", "Cl", "Cl", "Cl", "Cl", "Cl", "Cl", "Cl", "Cl", "Cl", "Cl", "Nb", "Nb"], "frac_coords": [[0.5395, 0.4605, 0.2500], [0.4605, 0.5395, 0.7500], [0.8975, 0.3531, 0.9749], [0.6513, 0.0892, 0.1077], [0.0862, 0.9138, 0.2500], [0.6469, 0.1025, 0.5251], [0.3531, 0.8975, 0.4749], [0.9138, 0.0862, 0.7500], [0.3487, 0.9108, 0.8923], [0.1025, 0.6469, 0.0251], [0.9108, 0.3487, 0.3923], [0.0892, 0.6513, 0.6077], [0.0000, 0.0000, 0.0000], [0.0000, 0.0000, 0.5000]]}

Entry 6:
{"formula": "Ag8HgAu5", "functional": "GGA-PBE", "state": "optimized geometry", "total_energy_ev_per_atom": -2.7333, "e_form_ev_per_atom": 0.088, "spacegroup": "I-4", "lattice": [[-0.5959, -0.4174, 7.0730], [6.3080, -2.3484, -2.2914], [-0.9724, 6.8917, -1.4545]], "species": ["Au", "Au", "Au", "Au", "Au", "Ag", "Ag", "Ag", "Ag", "Ag", "Ag", "Ag", "Ag", "Hg"], "frac_coords": [[0.5000, 0.0000, 0.5000], [0.2853, 0.0823, 0.9515], [0.8692, 0.9177, 0.2030], [0.7970, 0.6663, 0.7147], [0.0485, 0.3337, 0.1308], [0.7306, 0.2639, 0.3302], [0.5901, 0.9350, 0.8599], [0.6698, 0.4004, 0.9337], [0.9249, 0.0650, 0.6551], [0.5333, 0.5996, 0.2694], [0.1401, 0.7302, 0.0751], [0.0663, 0.7361, 0.4667], [0.3449, 0.2698, 0.4099], [0.2500, 0.5000, 0.7500]]}

Entry 7:
{"formula": "HgMo2", "functional": "GGA-PBE", "state": "optimized geometry", "total_energy_ev_per_atom": -6.8591, "e_form_ev_per_atom": 0.462, "relative_energy_mev_per_atom": 58, "spacegroup": "Cmcm", "lattice": [[1.6883, -6.7974, 0.0000], [1.6883, 6.7974, 0.0000], [0.0000, 0.0000, 4.6680]], "species": ["Hg", "Hg", "Mo", "Mo", "Mo", "Mo"], "frac_coords": [[0.0832, 0.9168, 0.2500], [0.9168, 0.0832, 0.7500], [0.2365, 0.7635, 0.7500], [0.7635, 0.2365, 0.2500], [0.6003, 0.3997, 0.7500], [0.3997, 0.6003, 0.2500]]}

Entry 8:
{"formula": "YTm3Bi", "functional": "GGA-PBE", "state": "optimized geometry", "total_energy_ev_per_atom": -4.9620, "e_form_ev_per_atom": -0.210, "spacegroup": "P2_1/c", "lattice": [[8.8250, 0.0000, 0.0000], [0.0000, 8.6203, -1.2153], [0.0000, -4.3384, 8.6725]], "species": ["Y", "Y", "Y", "Y", "Tm", "Tm", "Tm", "Tm", "Tm", "Tm", "Tm", "Tm", "Tm", "Tm", "Tm", "Tm", "Bi", "Bi", "Bi", "Bi"], "frac_coords": [[0.9312, 0.6847, 0.2537], [0.4312, 0.3153, 0.2463], [0.5688, 0.6847, 0.7537], [0.0688, 0.3153, 0.7463], [0.4323, 0.2484, 0.5657], [0.1809, 0.5827, 0.5653], [0.9323, 0.7516, 0.9343], [0.3191, 0.5827, 0.0653], [0.0677, 0.2484, 0.0657], [0.8191, 0.4173, 0.4347], [0.6809, 0.4173, 0.9347], [0.8898, 0.9050, 0.6813], [0.6102, 0.9050, 0.1813], [0.5677, 0.7516, 0.4343], [0.1102, 0.0950, 0.3187], [0.3898, 0.0950, 0.8187], [0.2232, 0.8831, 0.4751], [0.7768, 0.1169, 0.5249], [0.2768, 0.8831, 0.9751], [0.7232, 0.1169, 0.0249]]}

Entry 9:
{"formula": "BaAc4Pt5", "functional": "GGA-PBE", "state": "optimized geometry", "total_energy_ev_per_atom": -5.9268, "e_form_ev_per_atom": -1.071, "spacegroup": "C2/m", "lattice": [[4.3064, 0.0000, 0.9837], [1.8178, 7.1875, 1.9604], [0.0070, -0.0016, 9.8875]], "species": ["Ac", "Ac", "Ac", "Ac", "Ba", "Pt", "Pt", "Pt", "Pt", "Pt"], "frac_coords": [[0.4012, 0.7973, 0.4003], [0.5988, 0.2027, 0.5997], [0.2012, 0.3954, 0.2023], [0.7988, 0.6046, 0.7977], [0.0000, 0.0000, 0.0000], [0.2051, 0.9003, 0.6895], [0.6076, 0.6771, 0.1077], [0.0000, 0.5000, 0.5000], [0.3924, 0.3229, 0.8923], [0.7949, 0.0997, 0.3105]]}

Entry 10:
{"formula": "NaSm4ThS8", "functional": "GGA-PBE", "state": "optimized geometry", "formation_energy_uncorrected_ev_per_atom": -1.8815, "total_energy_ev_per_atom": -6.2126, "spacegroup": "R3m", "lattice": [[-2.2405, 5.5230, 5.6959], [-4.4099, -2.3853, 6.5444], [3.5377, -0.1640, 7.5168]], "species": ["S", "S", "S", "S", "S", "S", "S", "S", "Na", "Sm", "Sm", "Sm", "Sm", "Th"], "frac_coords": [[0.2254, 0.7588, 0.2569], [0.7588, 0.2254, 0.2569], [0.2378, 0.2378, 0.7427], [0.7592, 0.7592, 0.7223], [0.2391, 0.2391, 0.2826], [0.7816, 0.2378, 0.7427], [0.2378, 0.7816, 0.7427], [0.7588, 0.7588, 0.2569], [0.3728, 0.3728, 0.8816], [0.6278, 0.6278, 0.1167], [0.4894, 0.0041, 0.5024], [0.0041, 0.4894, 0.5024], [0.0041, 0.0041, 0.5024], [0.0031, 0.0031, 0.9907]]}

Entry 11:
{"formula": "AlFe2Br", "functional": "GGA-PBE", "state": "optimized geometry", "formation_energy_uncorrected_ev_per_atom": 0.1185, "total_energy_ev_per_atom": -5.4667, "relative_energy_mev_per_atom": 0, "spacegroup": "Pm", "lattice": [[3.1114, 0.0000, 0.0000], [0.0000, 3.9706, -0.2561], [0.0000, 0.3436, 6.1597]], "species": ["Fe", "Fe", "Br", "Al"], "frac_coords": [[0.5000, 0.9999, 0.3537], [0.0000, 0.9969, 0.0724], [0.5000, 0.0034, 0.7632], [0.0000, 0.4997, 0.3107]]}

Entry 12:
{"formula": "BaZnOsO5", "functional": "GGA-PBE", "state": "optimized geometry", "formation_energy_uncorrected_ev_per_atom": -1.5887, "total_energy_ev_per_atom": -6.4908, "spacegroup": "C2/c", "lattice": [[-4.8248, 3.4110, 0.6604], [2.1491, -1.2944, 5.3903], [5.0357, 4.8198, -2.6299]], "species": ["Ba", "Ba", "O", "O", "O", "O", "O", "O", "O", "O", "O", "O", "Os", "Os", "Zn", "Zn"], "frac_coords": [[0.6648, 0.3352, 0.7500], [0.3352, 0.6648, 0.2500], [0.0978, 0.7194, 0.9180], [0.9599, 0.0401, 0.7500], [0.0401, 0.9599, 0.2500], [0.6519, 0.7753, 0.9206], [0.7753, 0.6519, 0.4206], [0.2247, 0.3481, 0.5794], [0.3481, 0.2247, 0.0794], [0.7194, 0.0978, 0.4180], [0.2806, 0.9022, 0.5820], [0.9022, 0.2806, 0.0820], [0.0000, 0.0000, 0.0000], [0.0000, 0.0000, 0.5000], [0.6931, 0.3069, 0.2500], [0.3069, 0.6931, 0.7500]]}

Number 1: magnetic moment 3.7 μB per formula unit. Number 2: magnetic moment 0.0 μB per formula unit. Number 3: magnetic moment 1.7 μB per formula unit. Number 4: magnetic moment 5.7 μB per formula unit. Number 5: magnetic moment 1.0 μB per formula unit. Number 6: magnetic moment 0.0 μB per formula unit. Number 7: magnetic moment 0.0 μB per formula unit. Number 8: magnetic moment 0.0 μB per formula unit. Number 9: magnetic moment 0.0 μB per formula unit. Number 10: magnetic moment 0.0 μB per formula unit. Number 11: magnetic moment 4.1 μB per formula unit. Number 12: magnetic moment 0.0 μB per formula unit.